1.
# GaBPb3

A crystal of GaBPb3 relaxed with PBEsol (SCAN, Alexandria).

Unit cell a=4.9988 b=4.9988 c=4.9988 alpha=90.00 beta=90.00 gamma=90.00
Space group Pm-3m (No. 221)
Inequivalent atoms, fractional coordinates:
Ga1 0.0000 0.0000 0.0000
B1 0.5000 0.5000 0.5000
Pb1 0.0000 0.5000 0.5000

Summary:
formation energy from the elements	744	meV per atom
DOS at the Fermi energy	0.528	states/eV per atom
uncorrected energy	-49.48	eV/atom
calculated density	9.3	g cm⁻³

2.
# Ga3BPd

A crystal of Ga3BPd relaxed with PBEsol (SCAN, Alexandria).

Unit cell a=4.6787 b=4.6787 c=4.6787 alpha=90.00 beta=90.00 gamma=90.00
Space group Pm-3m (No. 221)
Inequivalent atoms, fractional coordinates:
Ga1 0.0000 0.0000 0.5000
B1 0.5000 0.5000 0.5000
Pd1 0.0000 0.0000 0.0000

Summary:
formation energy from the elements	822	meV per atom
DOS at the Fermi energy	0.533	states/eV per atom
uncorrected energy	-17.03	eV/atom
calculated density	5.3	g cm⁻³

3.
# RbGa3B

A crystal of RbGa3B relaxed with PBEsol (SCAN, Alexandria).

Unit cell a=4.7054 b=4.7054 c=4.7054 alpha=90.00 beta=90.00 gamma=90.00
Space group Pm-3m (No. 221)
Inequivalent atoms, fractional coordinates:
Rb1 0.0000 0.0000 0.0000
Ga1 0.0000 0.5000 0.5000
B1 0.5000 0.5000 0.5000

Summary:
formation energy from the elements	632	meV per atom
DOS at the Fermi energy	0.395	states/eV per atom
uncorrected energy	-14.81	eV/atom
calculated density	4.9	g cm⁻³

4.
# RbGaB2S

A crystal of RbGaB2S relaxed with PBEsol (SCAN, Alexandria).

Unit cell a=4.2081 b=4.2081 c=6.0241 alpha=90.00 beta=90.00 gamma=90.00
Space group P4/mmm (No. 123)
Inequivalent atoms, fractional coordinates:
Rb1 0.0000 0.0000 0.0000
Ga1 0.0000 0.0000 0.5000
B1 0.0000 0.5000 0.5000
S1 0.5000 0.5000 0.0000

Summary:
DOS at the Fermi energy	0.890	states/eV per atom
uncorrected energy	-10.98	eV/atom
calculated density	3.3	g cm⁻³

5.
# Ga3ReB

A crystal of Ga3ReB relaxed with PBEsol (SCAN, Alexandria).

Unit cell a=4.7666 b=4.7666 c=4.7666 alpha=90.00 beta=90.00 gamma=90.00
Space group Pm-3m (No. 221)
Inequivalent atoms, fractional coordinates:
Ga1 0.0000 0.0000 0.5000
Re1 0.0000 0.0000 0.0000
B1 0.5000 0.5000 0.5000

Summary:
formation energy from the elements	1157	meV per atom
DOS at the Fermi energy	0.420	states/eV per atom
uncorrected energy	-24.36	eV/atom
calculated density	6.2	g cm⁻³

6.
# Ga3BRh

A crystal of Ga3BRh relaxed with PBEsol (SCAN, Alexandria).

Unit cell a=4.1547 b=4.1547 c=4.1547 alpha=90.00 beta=90.00 gamma=90.00
Space group Pm-3m (No. 221)
Inequivalent atoms, fractional coordinates:
Ga1 0.0000 0.0000 0.5000
B1 0.0000 0.0000 0.0000
Rh1 0.5000 0.5000 0.5000

Summary:
formation energy from the elements	584	meV per atom
DOS at the Fermi energy	0.365	states/eV per atom
uncorrected energy	-17.46	eV/atom
calculated density	7.5	g cm⁻³

7.
# Ga2BS

A crystal of Ga2BS relaxed with PBEsol (SCAN, Alexandria).

Unit cell a=6.1012 b=6.1012 c=6.1012 alpha=90.00 beta=90.00 gamma=90.00
Space group Fm-3m (No. 225)
Inequivalent atoms, fractional coordinates:
Ga1 0.2500 0.2500 0.2500
B1 0.0000 0.0000 0.0000
S1 0.0000 0.0000 0.5000

Summary:
DOS at the Fermi energy	0.554	states/eV per atom
uncorrected energy	-11.44	eV/atom
calculated density	5.3	g cm⁻³

8.
# GaB2Sb2

A crystal of GaB2Sb2 relaxed with PBEsol (SCAN, Alexandria).

Unit cell a=6.9846 b=6.9846 c=3.6792 alpha=90.00 beta=90.00 gamma=90.00
Space group P4/mbm (No. 127)
Inequivalent atoms, fractional coordinates:
Ga1 0.0000 0.0000 0.0000
B1 0.0824 0.4176 0.0000
Sb1 0.2185 0.2815 0.5000

Summary:
excess energy over the best structure of this formula in the dataset	0	meV per atom
DOS at the Fermi energy	0.345	states/eV per atom
uncorrected energy	-20.40	eV/atom
calculated density	6.2	g cm⁻³

9.
# GaB2Sb2

A crystal of GaB2Sb2 relaxed with PBEsol (SCAN, Alexandria).

Unit cell a=7.3668 b=7.3668 c=3.3159 alpha=90.00 beta=90.00 gamma=90.00
Space group P4/mbm (No. 127)
Inequivalent atoms, fractional coordinates:
Ga1 0.0000 0.0000 0.0000
B1 0.0789 0.4211 0.5000
Sb1 0.1719 0.6719 0.0000

Summary:
excess energy over the best structure of this formula in the dataset	331	meV per atom
DOS at the Fermi energy	0.344	states/eV per atom
uncorrected energy	-20.07	eV/atom
calculated density	6.2	g cm⁻³

10.
# Ga3BSe

A crystal of Ga3BSe relaxed with PBEsol (SCAN, Alexandria).

Unit cell a=4.9178 b=4.9178 c=4.9178 alpha=90.00 beta=90.00 gamma=90.00
Space group Pm-3m (No. 221)
Inequivalent atoms, fractional coordinates:
Ga1 0.0000 0.0000 0.5000
B1 0.5000 0.5000 0.5000
Se1 0.0000 0.0000 0.0000

Summary:
DOS at the Fermi energy	0.665	states/eV per atom
uncorrected energy	-13.81	eV/atom
calculated density	4.2	g cm⁻³

11.
# GaSi2B2

A crystal of GaSi2B2 relaxed with PBEsol (SCAN, Alexandria).

Unit cell a=6.5873 b=6.5873 c=2.5475 alpha=90.00 beta=90.00 gamma=90.00
Space group P4/mbm (No. 127)
Inequivalent atoms, fractional coordinates:
Ga1 0.0000 0.0000 0.0000
Si1 0.1410 0.3590 0.5000
B1 0.1500 0.6500 0.0000

Summary:
DOS at the Fermi energy	0.290	states/eV per atom
uncorrected energy	-9.32	eV/atom
calculated density	4.4	g cm⁻³

12.
# SrGaB3

A crystal of SrGaB3 relaxed with PBEsol (SCAN, Alexandria).

Unit cell a=4.2492 b=4.2492 c=4.2492 alpha=90.00 beta=90.00 gamma=90.00
Space group Pm-3m (No. 221)
Inequivalent atoms, fractional coordinates:
Sr1 0.0000 0.0000 0.0000
Ga1 0.5000 0.5000 0.5000
B1 0.0000 0.5000 0.5000

Summary:
formation energy from the elements	1268	meV per atom
DOS at the Fermi energy	0.544	states/eV per atom
uncorrected energy	-10.91	eV/atom
calculated density	4.1	g cm⁻³